# 1
Ag2TeAsSe2: relaxed, PBE.

Values from the calculation:
As for the crystal system: orthorhombic. The formation energy from raw total energies comes out at -0.017 eV/atom. As for the density of states at the Fermi level: 0.64 states/eV/atom.

Cell lengths 7.0557, 8.0958, 7.3895 Å; angles 123.22, 90.00, 90.00 degrees
Fractional coordinates of all 12 atoms:
Ag1 0.8244 0.8318 0.3431
Ag2 0.8244 0.4887 0.6569
Ag3 0.3244 0.5113 0.3431
Ag4 0.3244 0.1682 0.6569
Te1 0.6511 0.8235 0.0000
Te2 0.1511 0.1765 0.0000
As1 0.2765 0.8031 0.0000
As2 0.7765 0.1969 0.0000
Se1 0.1985 0.8155 0.3278
Se2 0.1985 0.4877 0.6722
Se3 0.6985 0.1845 0.6722
Se4 0.6985 0.5123 0.3278

***

# 2
LiTm12Co6: relaxed, PBE.

Values from the calculation:
As for the crystal system: cubic. For the energy above the most stable polymorph in this dataset, the calculation gives 0.0 meV/atom. As for the density of states at the Fermi level: 0.69 states/eV/atom. The calculated formation energy is -197 meV/atom.

Cell lengths 8.2668, 8.2668, 8.2668 Å; angles 109.47, 109.47, 109.47 degrees
Fractional coordinates of all 19 atoms:
Li1 0.0000 0.0000 0.0000
Tm1 0.3048 0.1094 0.8046
Tm2 0.3048 0.5001 0.1954
Tm3 0.6952 0.4999 0.8046
Tm4 0.6952 0.8906 0.1954
Tm5 0.1094 0.8046 0.3048
Tm6 0.5001 0.1954 0.3048
Tm7 0.4999 0.8046 0.6952
Tm8 0.8906 0.1954 0.6952
Tm9 0.8046 0.3048 0.1094
Tm10 0.1954 0.3048 0.5001
Tm11 0.8046 0.6952 0.4999
Tm12 0.1954 0.6952 0.8906
Co1 0.3858 0.5000 0.8858
Co2 0.6142 0.5000 0.1142
Co3 0.5000 0.8858 0.3858
Co4 0.5000 0.1142 0.6142
Co5 0.8858 0.3858 0.5000
Co6 0.1142 0.6142 0.5000

***

# 3
TaPAu2: relaxed, PBE.

Values from the calculation:
As for the crystal system: orthorhombic. As for the density of states at the Fermi level: 0.64 states/eV/atom. The calculated formation energy is 52 meV/atom.

Cell lengths 5.6695, 5.6695, 5.6695 Å; angles 145.86, 137.73, 55.42 degrees
Fractional coordinates of all 4 atoms:
Ta1 0.5000 0.0000 0.5000
P1 0.0000 0.5000 0.5000
Au1 0.7901 0.7901 0.0000
Au2 0.2099 0.2099 0.0000

***

# 4
LaGd3: relaxed, PBE.

Values from the calculation:
As for the crystal system: hexagonal. For the energy above the most stable polymorph in this dataset, the calculation gives 7.1 meV/atom. As for the density of states at the Fermi level: 1.75 states/eV/atom. The calculated formation energy is 17 meV/atom.

Cell lengths 7.3399, 7.3399, 5.8724 Å; angles 90.00, 90.00, 120.00 degrees
Last column: magnetic moment on the atom in μB.
Fractional coordinates of all 8 atoms:
La1 0.6667 0.3333 0.2500  0.10
La2 0.3333 0.6667 0.7500  0.10
Gd1 0.8352 0.1648 0.7500  7.25
Gd2 0.3297 0.1648 0.7500  7.25
Gd3 0.8352 0.6703 0.7500  7.25
Gd4 0.1648 0.8352 0.2500  7.25
Gd5 0.6703 0.8352 0.2500  7.25
Gd6 0.1648 0.3297 0.2500  7.25

***

# 5
Ti3ZnBi: relaxed, PBE.

Values from the calculation:
As for the crystal system: monoclinic. For the energy above the most stable polymorph in this dataset, the calculation gives 0.0 meV/atom. As for the density of states at the Fermi level: 1.14 states/eV/atom. The calculated formation energy is -55 meV/atom.

Cell lengths 3.9991, 5.9284, 8.3546 Å; angles 100.15, 103.85, 90.00 degrees
Fractional coordinates of all 10 atoms:
Ti1 0.9919 0.7481 0.9838
Ti2 0.0081 0.2519 0.0162
Ti3 0.4121 0.9916 0.8242
Ti4 0.5879 0.0084 0.1758
Ti5 0.1782 0.7905 0.3564
Ti6 0.8218 0.2095 0.6436
Zn1 0.5809 0.5416 0.1619
Zn2 0.4191 0.4584 0.8381
Bi1 0.8047 0.7152 0.6093
Bi2 0.1953 0.2848 0.3907